ZnCo2Sb: optimized geometry, PBE.

abc: 3.092 3.575 5.290
angles: 90.00 90.00 90.00
Space group Pmm2 (No. 25)
Inequivalent atoms, fractional coordinates:
Zn 0.000 0.000 0.000 [1 per cell]
Co 0.000 0.000 0.457 [1 per cell]
Co 0.500 0.500 0.174 [1 per cell]
Sb 0.500 0.500 0.666 [1 per cell]

Properties
- relative energy among the computed polymorphs (meV/atom) = 176
- ΔE_f (raw) (eV per atom) = 0.187
- D(E_F) (states/eV per cell) = 5.8